This record from Alexandria via LeMat-Bulk describes crystalline CaRe2As at its relaxed geometry. The functional is PBE.

Geometry as POSCAR:
```
CaRe2As
1.0
0.000 3.249 3.249
3.249 0.000 3.249
3.249 3.249 0.000
Ca Re As
1 2 1
Direct
0.000 0.000 0.000
0.250 0.250 0.250
0.500 0.500 0.500
0.750 0.750 0.750
```

- Size of the total moment: 0.000 μB/cell
- N(E_F): 0.953 states/eV/atom
- Formation energy: 0.533 eV/atom
- Symmetry: F-43m